Entry 1:
## Ba6Na2ZnN (GGA-PBE)

Data for crystalline Ba6Na2ZnN at its relaxed geometry.

Values from the calculation:
For the volume, the calculation gives 48.32 A^3/atom. As for the uncorrected formation energy: -2.12 kcal/mol of atoms. The calculation puts the total energy at -24.69 eV/f.u.

abc: 8.565 8.565 13.174
angles: 90.00 90.00 90.00
Space group I4mm (No. 107)
Inequivalent atoms, fractional coordinates:
Ba1 0.000 0.000 0.000 x2
Ba2 0.000 0.000 0.492 x2
Ba3 0.223 0.223 0.237 x8
Na1 0.000 0.500 0.484 x4
Zn1 0.000 0.000 0.737 x2
N1 0.000 0.000 0.196 x2



Entry 2:
## BaNb2N4 (GGA-PBE)

Data for crystalline BaNb2N4 at its relaxed geometry.

Values from the calculation:
For the volume, the calculation gives 20.06 A^3/atom. As for the uncorrected formation energy: -20.74 kcal/mol of atoms. The calculation puts the total energy at -61.66 eV/f.u.

abc: 8.511 14.203 6.202
angles: 90.00 131.47 90.00
Space group Cc (No. 9)
Inequivalent atoms, fractional coordinates:
Ba1 0.000 0.113 0.000 x4
Nb1 0.217 0.276 0.725 x4
Nb2 0.406 0.067 0.770 x4
N1 0.205 0.402 0.573 x4
N2 0.264 0.182 0.546 x4
N3 0.297 0.018 0.946 x4
N4 0.456 0.261 0.136 x4



Entry 3:
## BaNbN3 (GGA-PBE)

Data for crystalline BaNbN3 at its relaxed geometry.

Values from the calculation:
For the volume, the calculation gives 16.66 A^3/atom. As for the uncorrected formation energy: 58.99 kcal/mol of atoms. The calculation puts the total energy at -24.18 eV/f.u.

abc: 4.367 4.367 4.367
angles: 90.00 90.00 90.00
Space group Pm-3m (No. 221)
Inequivalent atoms, fractional coordinates:
Ba1 0.000 0.000 0.000 x1
Nb1 0.500 0.500 0.500 x1
N1 0.000 0.000 0.500 x3



Entry 4:
## Ba2NbN3 (GGA-PBE)

Data for crystalline Ba2NbN3 at its relaxed geometry.

Values from the calculation:
For the volume, the calculation gives 18.58 A^3/atom. As for the uncorrected formation energy: -20.55 kcal/mol of atoms. The calculation puts the total energy at -44.24 eV/f.u.

abc: 10.504 7.241 5.861
angles: 90.00 90.06 90.00
Space group C2/c (No. 15)
Inequivalent atoms, fractional coordinates:
Ba1 0.165 0.156 0.250 x8
Nb1 0.000 0.412 0.750 x4
N1 0.000 0.149 0.750 x4
N2 0.134 0.500 0.000 x8



Entry 5:
## Ba3Nb5N12 (GGA-PBE)

Data for crystalline Ba3Nb5N12 at its relaxed geometry.

Values from the calculation:
For the volume, the calculation gives 16.52 A^3/atom. As for the uncorrected formation energy: -10.16 kcal/mol of atoms. The calculation puts the total energy at -164.83 eV/f.u.

abc: 13.826 13.826 13.826
angles: 90.00 90.00 90.00
Space group Ia-3d (No. 230)
Inequivalent atoms, fractional coordinates:
Ba1 0.000 0.250 0.125 x24
Nb1 0.000 0.000 0.000 x16
Nb2 0.000 0.250 0.375 x24
N1 0.038 0.144 0.961 x96



Entry 6:
## BaNbN3 (GGA-PBE)

Data for crystalline BaNbN3 at its relaxed geometry.

Values from the calculation:
For the volume, the calculation gives 17.15 A^3/atom. As for the uncorrected formation energy: -12.47 kcal/mol of atoms. The calculation puts the total energy at -39.67 eV/f.u.

abc: 6.215 3.958 6.970
angles: 90.00 90.00 90.00
Space group Pmma (No. 51)
Inequivalent atoms, fractional coordinates:
Ba1 0.250 0.000 0.240 x2
Nb1 0.250 0.500 0.814 x2
N1 0.000 0.500 0.000 x2
N2 0.041 0.500 0.581 x4



Entry 7:
## Ba3NbN3 (GGA-PBE)

Data for crystalline Ba3NbN3 at its relaxed geometry.

Values from the calculation:
For the volume, the calculation gives 25.37 A^3/atom. As for the uncorrected formation energy: -16.35 kcal/mol of atoms. The calculation puts the total energy at -45.78 eV/f.u.

abc: 8.3771 8.3771 5.8443
angles: 90.00 90.00 120.00
Space group P6_3/m (No. 176)
Inequivalent atoms, fractional coordinates:
Ba1 0.1088 0.3617 0.2500 x6
Nb1 0.3333 0.6667 0.7500 x2
N1 0.1364 0.4083 0.7500 x6



Entry 8:
## Ba3NbN4 (GGA-PBE)

Data for crystalline Ba3NbN4 at its relaxed geometry.

Values from the calculation:
For the volume, the calculation gives 21.29 A^3/atom. As for the uncorrected formation energy: -16.04 kcal/mol of atoms. The calculation puts the total energy at -54.70 eV/f.u.

abc: 8.424 9.013 8.974
angles: 90.00 90.00 90.00
Space group Pnma (No. 62)
Inequivalent atoms, fractional coordinates:
Ba1 0.029 0.027 0.227 x8
Ba2 0.191 0.750 0.480 x4
Nb1 0.227 0.750 0.991 x4
N1 0.006 0.750 0.059 x4
N2 0.177 0.059 0.552 x8
N3 0.226 0.750 0.771 x4



Entry 9:
## Ba4NbN4 (GGA-PBE)

Data for crystalline Ba4NbN4 at its relaxed geometry.

Values from the calculation:
For the volume, the calculation gives 26.42 A^3/atom. As for the uncorrected formation energy: -14.39 kcal/mol of atoms. The calculation puts the total energy at -56.68 eV/f.u.

abc: 7.277 7.277 8.980
angles: 90.00 90.00 90.00
Space group P4_2/nmc (No. 137, origin choice 2)
Inequivalent atoms, fractional coordinates:
Ba1 0.010 0.250 0.074 x8
Nb1 0.250 0.750 0.250 x2
N1 0.037 0.750 0.391 x8



Entry 10:
## BaNb3N (GGA-PBE)

Data for crystalline BaNb3N at its relaxed geometry.

Values from the calculation:
For the volume, the calculation gives 18.44 A^3/atom. As for the uncorrected formation energy: 9.27 kcal/mol of atoms. The calculation puts the total energy at -38.45 eV/f.u.

abc: 4.518 4.518 4.518
angles: 90.00 90.00 90.00
Space group Pm-3m (No. 221)
Inequivalent atoms, fractional coordinates:
Ba1 0.000 0.000 0.000 x1
Nb1 0.000 0.500 0.500 x3
N1 0.500 0.500 0.500 x1



Entry 11:
## Ba5Nb2N6 (GGA-PBE)

Data for crystalline Ba5Nb2N6 at its relaxed geometry.

Values from the calculation:
For the volume, the calculation gives 23.43 A^3/atom. As for the uncorrected formation energy: -18.48 kcal/mol of atoms. The calculation puts the total energy at -90.13 eV/f.u.

abc: 10.856 7.680 14.719
angles: 90.00 96.96 90.00
Space group C2/c (No. 15)
Inequivalent atoms, fractional coordinates:
Ba1 0.000 0.090 0.250 x4
Ba2 0.051 0.225 0.979 x8
Ba3 0.161 0.458 0.705 x8
Nb1 0.227 0.370 0.423 x8
N1 0.070 0.481 0.379 x8
N2 0.149 0.110 0.662 x8
N3 0.192 0.104 0.441 x8



Entry 12:
## BaNbN3 (GGA-PBE)

Data for crystalline BaNbN3 at its relaxed geometry.

Values from the calculation:
For the volume, the calculation gives 14.90 A^3/atom. As for the uncorrected formation energy: -8.65 kcal/mol of atoms. The calculation puts the total energy at -38.84 eV/f.u.

abc: 4.207 4.207 4.207
angles: 90.00 90.00 90.00
Space group Pm-3m (No. 221)
Inequivalent atoms, fractional coordinates:
Ba1 0.000 0.000 0.000 x1
Nb1 0.500 0.500 0.500 x1
N1 0.000 0.500 0.500 x3